Here is a geometry-optimized Rb2HfAsAu structure from Alexandria. Energies are from GGA-PBE.

Lattice parameters (Å, degrees): 6.792 5.058 6.792 90.00 90.00 90.00
Positions (direct):
Hf (0.000, 0.500, 0.000)
As (0.000, 0.000, 0.000)
Au (0.500, 0.500, 0.500)
Rb (0.000, 0.000, 0.500)
Rb (0.500, 0.000, 0.000)

Values from the calculation:
Crystal system = tetragonal
Total magnetic moment = 0.00 μB per formula unit
Energy relative to the elements = 1.16 eV per formula unit

Here is a geometry-optimized Li5ThS5 structure from Alexandria. Energies are from GGA-PBE.

Lattice parameters (Å, degrees): 5.452 6.726 7.498 108.74 90.00 113.91
Positions (direct):
Li (0.692, 0.383, 0.319)
Li (0.687, 0.374, 0.867)
Li (0.000, 0.000, 0.500)
Li (0.313, 0.626, 0.133)
Li (0.308, 0.617, 0.681)
Th (0.000, 0.000, 0.000)
S (0.845, 0.690, 0.187)
S (0.821, 0.642, 0.658)
S (0.500, 0.000, 0.000)
S (0.179, 0.358, 0.342)
S (0.155, 0.310, 0.813)

Values from the calculation:
Crystal system = monoclinic
Energy relative to the elements, uncorrected = -1309.2 meV per atom
Total magnetic moment = 0.00 μB per formula unit

Here is a geometry-optimized ErTmSi structure from Alexandria. Energies are from GGA-PBE.

Lattice parameters (Å, degrees): 4.110 5.893 6.855 76.70 107.42 110.45
Positions (direct):
Er (0.016, 0.585, 0.408)
Er (0.844, 0.965, 0.685)
Tm (0.603, 0.046, 0.123)
Tm (0.257, 0.505, 0.970)
Si (0.554, 0.363, 0.707)
Si (0.306, 0.188, 0.386)

Values from the calculation:
ΔE to the lowest computed polymorph = 31.4 meV per atom
Crystal system = monoclinic
Energy relative to the elements, uncorrected = -523.9 meV per atom
Total magnetic moment = 0.00 μB per formula unit